An optimized crystal structure of Sc2CoF. Source: Alexandria via LeMat-Bulk, functional GGA+U.

ΔE to the lowest computed polymorph: 0.246 eV/atom

Unit cell a=5.6189 b=5.6189 c=5.6189 alpha=115.55 beta=115.55 gamma=97.91
Atoms (fractional coordinates):
Sc 0.0956 0.6250 0.9706
Sc 0.3750 0.3456 0.4706
Sc 0.6544 0.1250 0.0294
Sc 0.8750 0.9044 0.5294
Co 0.2500 0.7500 0.5000
Co 0.5000 0.5000 0.0000
F 0.0000 0.0000 0.0000
F 0.7500 0.2500 0.5000